Record 1
# AlNiIr

A relaxed structure of AlNiIr (GGA-PBE, Alexandria via LeMat-Bulk).

Geometry as POSCAR:
```
AlNiIr
1.0
0.000 2.814 2.814
2.814 0.000 2.814
2.814 2.814 0.000
Al Ni Ir
1 1 1
direct
0.000 0.000 0.000
0.250 0.250 0.250
0.750 0.750 0.750
```

***

Record 2
# AlNiIr

A relaxed structure of AlNiIr (GGA-PBE, Alexandria via LeMat-Bulk).

Geometry as POSCAR:
```
AlNiIr
1.0
4.070 0.000 0.000
-2.035 3.525 0.000
0.000 0.000 2.733
Al Ni Ir
1 1 1
direct
0.000 0.000 0.000
0.333 0.667 0.000
0.667 0.333 0.500
```

***

Record 3
# AlNi4Ir

A relaxed structure of AlNi4Ir (GGA-PBE, Alexandria via LeMat-Bulk).

## Properties
Relative energy among the computed polymorphs in meV/atom: 0

Geometry as POSCAR:
```
AlNi4Ir
1.0
4.477 0.000 0.000
-1.499 4.893 0.000
-0.704 -1.489 6.538
Al Ni Ir
2 8 2
direct
0.230 0.270 0.416
0.770 0.730 0.584
0.248 0.959 0.085
0.255 0.622 0.740
0.255 0.788 0.417
0.258 0.122 0.748
0.742 0.878 0.252
0.745 0.212 0.583
0.745 0.378 0.260
0.752 0.041 0.915
0.248 0.457 0.080
0.752 0.543 0.920
```

***

| no. | M_tot (μB per atom) | energy relative to the elements (eV per atom) | VASP energy (Ry/atom) |
| --- | --- | --- | --- |
| 1 | 0.000 | -0.18 | -0.463 |
| 2 | 0.044 | -0.41 | -0.480 |
| 3 | 0.100 | -0.26 | -0.457 |